(1)
The following is a GGA-PBE calculation of a relaxed Ac4Ga3Pd crystal, from the Alexandria database.

Values from the calculation:
The calculation puts the density of states at the Fermi level at 8.34 states/eV/cell. Its crystal system is orthorhombic. For the total DFT energy (no corrections), the calculation gives -4.40 eV per atom.

Cell: 4.710 4.453 11.501 Å, 90.00 90.00 90.00°
Sites, in units of the cell vectors:
Ac (0.500, 0.500, 0.350)
Ac (0.000, 0.500, 0.862)
Ac (0.000, 0.000, 0.141)
Ac (0.500, 0.000, 0.643)
Pd (0.500, 0.500, 0.071)
Ga (0.000, 0.500, 0.567)
Ga (0.000, 0.000, 0.430)
Ga (0.500, 0.000, 0.937)

(2)
The following is a GGA-PBE calculation of a relaxed Sr2Zn4Ga3Ni crystal, from the Alexandria database.

Values from the calculation:
The calculation puts the density of states at the Fermi level at 3.18 states/eV/cell. Its crystal system is tetragonal. For the total DFT energy (no corrections), the calculation gives -2.62 eV per atom.

Cell: 4.385 4.385 10.508 Å, 90.00 90.00 90.00°
Sites, in units of the cell vectors:
Sr (0.500, 0.000, 0.257)
Sr (0.000, 0.500, 0.743)
Zn (0.500, 0.500, 0.000)
Zn (0.000, 0.000, 0.000)
Zn (0.500, 0.000, 0.618)
Zn (0.000, 0.500, 0.382)
Ga (0.000, 0.000, 0.500)
Ga (0.500, 0.000, 0.865)
Ga (0.000, 0.500, 0.135)
Ni (0.500, 0.500, 0.500)

(3)
The following is a GGA-PBE calculation of a relaxed DyZn2F6 crystal, from the Alexandria database.

Values from the calculation:
The calculation puts the density of states at the Fermi level at 3.91 states/eV/cell. Its crystal system is monoclinic. The calculation puts the formation energy (no corrections) at -2.7581 eV/atom. For the total DFT energy (no corrections), the calculation gives -4.80 eV per atom.

Cell: 5.070 7.061 7.061 Å, 83.76 73.91 73.91°
Sites, in units of the cell vectors:
Dy (0.250, 0.148, 0.852)
Dy (0.750, 0.852, 0.148)
Zn (0.550, 0.569, 0.766)
Zn (0.950, 0.234, 0.431)
Zn (0.450, 0.431, 0.234)
Zn (0.050, 0.766, 0.569)
F (0.466, 0.688, 0.397)
F (0.034, 0.603, 0.312)
F (0.534, 0.312, 0.603)
F (0.966, 0.397, 0.688)
F (0.816, 0.973, 0.409)
F (0.684, 0.591, 0.027)
F (0.184, 0.027, 0.591)
F (0.316, 0.409, 0.973)
F (0.180, 0.829, 0.938)
F (0.320, 0.062, 0.171)
F (0.820, 0.171, 0.062)
F (0.680, 0.938, 0.829)

(4)
The following is a GGA-PBE calculation of a relaxed UGa2Ag crystal, from the Alexandria database.

Values from the calculation:
The calculation puts the density of states at the Fermi level at 4.41 states/eV/cell. Its crystal system is tetragonal. For the total DFT energy (no corrections), the calculation gives -5.07 eV per atom. The value obtained for the polymorph energy (0 for the lowest one) is 36 meV per atom.

Cell: 2.793 5.254 5.254 Å, 90.00 90.00 90.00°
Sites, in units of the cell vectors:
U (0.500, 0.500, 0.500)
Ga (0.000, 0.000, 0.500)
Ga (0.000, 0.500, 0.000)
Ag (0.500, 0.000, 0.000)

(5)
The following is a GGA-PBE calculation of a relaxed Ta4Pt crystal, from the Alexandria database.

Values from the calculation:
The calculation puts the density of states at the Fermi level at 5.72 states/eV/cell. Its crystal system is cubic. For the total DFT energy (no corrections), the calculation gives -9.37 eV per atom. The value obtained for the polymorph energy (0 for the lowest one) is 1600 meV per atom.

Cell: 4.835 4.835 4.835 Å, 90.00 90.00 90.00°
Sites, in units of the cell vectors:
Pt (0.500, 0.500, 0.500)
Ta (0.000, 0.000, 0.000)
Ta (0.500, 0.000, 0.500)
Ta (0.000, 0.500, 0.500)
Ta (0.500, 0.500, 0.000)

(6)
The following is a GGA-PBE calculation of a relaxed SbRhW2 crystal, from the Alexandria database.

Values from the calculation:
The calculation puts the density of states at the Fermi level at 2.58 states/eV/cell. Its crystal system is orthorhombic. The calculation puts the formation energy (no corrections) at 0.3156 eV/atom. For the total DFT energy (no corrections), the calculation gives -9.03 eV per atom.

Cell: 2.970 2.970 7.931 Å, 90.00 90.00 97.91°
Sites, in units of the cell vectors:
Sb (0.500, 0.500, 0.255)
Rh (0.000, 0.000, 0.521)
W (0.000, 0.000, 0.982)
W (0.500, 0.500, 0.742)

(7)
The following is a GGA-PBE calculation of a relaxed Ho2TeSeS crystal, from the Alexandria database.

Values from the calculation:
The calculation puts the density of states at the Fermi level at 0.00 states/eV/cell. Its crystal system is monoclinic. The calculation puts the formation energy (no corrections) at -1.6908 eV/atom. For the total DFT energy (no corrections), the calculation gives -5.67 eV per atom.

Cell: 4.376 8.368 8.522 Å, 82.05 75.12 74.84°
Sites, in units of the cell vectors:
Ho (0.402, 0.832, 0.364)
Ho (0.598, 0.168, 0.636)
Ho (0.825, 0.286, 0.064)
Ho (0.175, 0.714, 0.936)
Te (0.809, 0.752, 0.629)
Te (0.191, 0.248, 0.371)
Se (0.065, 0.057, 0.813)
Se (0.935, 0.943, 0.187)
S (0.369, 0.385, 0.877)
S (0.631, 0.615, 0.123)

(8)
The following is a GGA-PBE calculation of a relaxed Ti6O11 crystal, from the Alexandria database.

Values from the calculation:
The calculation puts the density of states at the Fermi level at 14.81 states/eV/cell. Its crystal system is triclinic. The calculation puts the formation energy (no corrections) at -2.9830 eV/atom. For the total DFT energy (no corrections), the calculation gives -8.98 eV per atom. The value obtained for the polymorph energy (0 for the lowest one) is 7 meV per atom.

Cell: 5.605 7.186 9.806 Å, 90.03 100.47 108.64°
Sites, in units of the cell vectors:
Ti (0.229, 0.638, 0.085)
Ti (0.771, 0.362, 0.915)
Ti (0.226, 0.138, 0.083)
Ti (0.774, 0.862, 0.917)
Ti (0.689, 0.427, 0.257)
Ti (0.311, 0.573, 0.743)
Ti (0.687, 0.924, 0.257)
Ti (0.313, 0.076, 0.743)
Ti (0.182, 0.696, 0.439)
Ti (0.818, 0.304, 0.561)
Ti (0.179, 0.194, 0.434)
Ti (0.821, 0.806, 0.566)
O (0.097, 0.358, 0.026)
O (0.903, 0.642, 0.974)
O (0.593, 0.302, 0.075)
O (0.407, 0.698, 0.925)
O (0.878, 0.983, 0.110)
O (0.122, 0.017, 0.890)
O (0.364, 0.922, 0.152)
O (0.636, 0.078, 0.848)
O (0.565, 0.642, 0.205)
O (0.435, 0.358, 0.795)
O (0.054, 0.574, 0.257)
O (0.946, 0.426, 0.743)
O (0.340, 0.262, 0.284)
O (0.660, 0.738, 0.716)
O (0.816, 0.201, 0.354)
O (0.184, 0.799, 0.646)
O (0.473, 0.173, 0.565)
O (0.014, 0.906, 0.391)
O (0.527, 0.827, 0.435)
O (0.790, 0.544, 0.467)
O (0.210, 0.456, 0.533)
O (0.986, 0.094, 0.609)

(9)
The following is a GGA-PBE calculation of a relaxed GaSnBiTe crystal, from the Alexandria database.

Values from the calculation:
The calculation puts the density of states at the Fermi level at 0.45 states/eV/cell. Its crystal system is monoclinic. The calculation puts the formation energy (no corrections) at -0.1093 eV/atom. For the total DFT energy (no corrections), the calculation gives -3.62 eV per atom.

Cell: 4.376 4.376 9.004 Å, 76.05 75.94 60.00°
Sites, in units of the cell vectors:
Ga (0.027, 0.475, 0.470)
Sn (0.924, 0.374, 0.778)
Bi (0.201, 0.652, 0.946)
Te (0.740, 0.186, 0.335)

(10)
The following is a GGA-PBE calculation of a relaxed Re2POs crystal, from the Alexandria database.

Values from the calculation:
The calculation puts the density of states at the Fermi level at 3.98 states/eV/cell. Its crystal system is tetragonal. For the total DFT energy (no corrections), the calculation gives -9.94 eV per atom.

Cell: 4.743 4.743 4.743 Å, 132.67 132.67 69.17°
Sites, in units of the cell vectors:
Re (0.000, 0.000, 0.000)
Re (0.250, 0.750, 0.500)
P (0.750, 0.250, 0.500)
Os (0.500, 0.500, 0.000)

(11)
The following is a GGA-PBE calculation of a relaxed ZnOsPt2 crystal, from the Alexandria database.

Values from the calculation:
The calculation puts the density of states at the Fermi level at 3.87 states/eV/cell. Its crystal system is monoclinic. For the total DFT energy (no corrections), the calculation gives -6.12 eV per atom.

Cell: 4.742 4.742 4.834 Å, 81.81 81.81 33.80°
Sites, in units of the cell vectors:
Os (0.250, 0.250, 0.250)
Pt (0.996, 0.996, 0.004)
Pt (0.504, 0.504, 0.496)
Zn (0.750, 0.750, 0.750)